Compound: ZnCdHg2
Source: Alexandria
Functional: SCAN
Structure: PBEsol geometry

a = 3.798 Å, b = 4.982 Å, c = 4.754 Å
α = 100.18°, β = 90.00°, γ = 112.41°
Positions (direct):
Zn (0.500, 0.999, 0.495)
Hg (0.998, 0.996, 0.986)
Hg (0.751, 0.502, 0.272)
Cd (0.252, 0.504, 0.747)

- polymorph energy (0 for the lowest one) (meV/atom) = 20
- symmetry = Cm, No. 8



Compound: Zn2CdHg
Source: Alexandria
Functional: SCAN
Structure: PBEsol geometry

a = 3.979 Å, b = 4.249 Å, c = 4.249 Å
α = 90.00°, β = 90.00°, γ = 90.00°
Positions (direct):
Cd (0.500, 0.500, 0.500)
Hg (0.500, 0.000, 0.000)
Zn (0.000, 0.000, 0.500)
Zn (0.000, 0.500, 0.000)

- polymorph energy (0 for the lowest one) (meV/atom) = 55
- symmetry = P4/mmm, No. 123



Compound: ZnCd2Hg
Source: Alexandria
Functional: SCAN
Structure: PBEsol geometry

a = 3.114 Å, b = 5.600 Å, c = 4.899 Å
α = 101.29°, β = 108.53°, γ = 90.00°
Positions (direct):
Zn (0.000, 0.500, 0.000)
Hg (0.500, 0.000, 0.000)
Cd (0.258, 0.268, 0.516)
Cd (0.742, 0.732, 0.484)

- polymorph energy (0 for the lowest one) (meV/atom) = 18
- symmetry = C2/m, No. 12



Compound: Zn2CdHg
Source: Alexandria
Functional: SCAN
Structure: PBEsol geometry

a = 2.894 Å, b = 3.907 Å, c = 6.379 Å
α = 90.00°, β = 90.00°, γ = 90.00°
Positions (direct):
Cd (0.000, 0.000, 0.477)
Hg (0.500, 0.500, 0.771)
Zn (0.000, 0.000, 0.029)
Zn (0.500, 0.500, 0.222)

- polymorph energy (0 for the lowest one) (meV/atom) = 32
- symmetry = Pmm2, No. 25



Compound: ZnCdHg2
Source: Alexandria
Functional: SCAN
Structure: PBEsol geometry

a = 3.220 Å, b = 4.793 Å, c = 5.796 Å
α = 102.95°, β = 90.00°, γ = 109.63°
Positions (direct):
Zn (0.500, 0.000, 0.000)
Hg (0.758, 0.516, 0.767)
Hg (0.242, 0.484, 0.233)
Cd (0.000, 0.000, 0.500)

- polymorph energy (0 for the lowest one) (meV/atom) = 15
- symmetry = C2/m, No. 12



Compound: ZnCdHg2
Source: Alexandria
Functional: SCAN
Structure: PBEsol geometry

a = 3.830 Å, b = 3.763 Å, c = 5.630 Å
α = 90.00°, β = 89.99°, γ = 90.00°
Positions (direct):
Zn (0.000, 0.000, 0.490)
Hg (0.000, 0.000, 0.989)
Hg (0.500, 0.500, 0.267)
Cd (0.500, 0.500, 0.755)

- polymorph energy (0 for the lowest one) (meV/atom) = 25
- symmetry = Pmm2, No. 25



Compound: ZnCdHg2
Source: Alexandria
Functional: SCAN
Structure: PBEsol geometry

a = 3.279 Å, b = 3.279 Å, c = 8.941 Å
α = 79.43°, β = 79.43°, γ = 60.00°
Positions (direct):
Zn (0.500, 0.500, 0.500)
Hg (0.244, 0.244, 0.267)
Hg (0.756, 0.756, 0.733)
Cd (0.000, 0.000, 0.000)

- polymorph energy (0 for the lowest one) (meV/atom) = 5
- symmetry = R-3m, No. 166



Compound: ZnCd2Hg
Source: Alexandria
Functional: SCAN
Structure: PBEsol geometry

a = 2.846 Å, b = 5.297 Å, c = 6.106 Å
α = 115.71°, β = 103.48°, γ = 90.00°
Positions (direct):
Zn (0.252, 0.752, 0.504)
Hg (0.519, 0.519, 0.038)
Cd (0.981, 0.981, 0.963)
Cd (0.748, 0.248, 0.495)

- polymorph energy (0 for the lowest one) (meV/atom) = 25
- symmetry = Imm2, No. 44



Compound: ZnCdHg2
Source: Alexandria
Functional: SCAN
Structure: PBEsol geometry

a = 4.320 Å, b = 4.320 Å, c = 9.876 Å
α = 102.63°, β = 102.63°, γ = 90.00°
Positions (direct):
Zn (0.750, 0.250, 0.500)
Zn (0.500, 0.500, 0.000)
Hg (0.390, 0.875, 0.250)
Hg (0.860, 0.375, 0.250)
Hg (0.125, 0.140, 0.750)
Hg (0.625, 0.610, 0.750)
Cd (0.250, 0.750, 0.500)
Cd (0.000, 0.000, 0.000)

- polymorph energy (0 for the lowest one) (meV/atom) = 38
- symmetry = I-42d, No. 122



Compound: ZnCd2Hg
Source: Alexandria
Functional: SCAN
Structure: PBEsol geometry

a = 3.156 Å, b = 3.156 Å, c = 9.342 Å
α = 80.27°, β = 80.27°, γ = 60.00°
Positions (direct):
Zn (0.000, 0.000, 0.000)
Hg (0.500, 0.500, 0.500)
Cd (0.255, 0.255, 0.234)
Cd (0.745, 0.745, 0.766)

- polymorph energy (0 for the lowest one) (meV/atom) = 18
- symmetry = R-3m, No. 166



Compound: Zn2CdHg
Source: Alexandria
Functional: SCAN
Structure: PBEsol geometry

a = 3.007 Å, b = 3.007 Å, c = 7.973 Å
α = 90.00°, β = 90.00°, γ = 89.87°
Positions (direct):
Cd (0.500, 0.500, 0.500)
Hg (0.500, 0.500, 0.000)
Zn (0.000, 0.000, 0.252)
Zn (0.000, 0.000, 0.748)

- polymorph energy (0 for the lowest one) (meV/atom) = 75
- symmetry = Cmmm, No. 65



Compound: Zn2CdHg
Source: Alexandria
Functional: SCAN
Structure: PBEsol geometry

a = 3.094 Å, b = 3.094 Å, c = 8.975 Å
α = 80.08°, β = 80.08°, γ = 60.00°
Positions (direct):
Zn (0.006, 0.006, 0.982)
Zn (0.744, 0.744, 0.767)
Hg (0.256, 0.256, 0.233)
Cd (0.494, 0.494, 0.517)

- polymorph energy (0 for the lowest one) (meV/atom) = 20
- symmetry = R3m, No. 160



Compound: ZnCd2Hg
Source: Alexandria
Functional: SCAN
Structure: PBEsol geometry

a = 3.363 Å, b = 4.432 Å, c = 5.434 Å
α = 90.00°, β = 100.32°, γ = 90.00°
Positions (direct):
Zn (0.327, 0.500, 0.778)
Hg (0.187, 0.000, 0.485)
Cd (0.851, 0.000, 0.953)
Cd (0.635, 0.500, 0.284)

- polymorph energy (0 for the lowest one) (meV/atom) = 5
- symmetry = Pm, No. 6



Compound: ZnCd2Hg
Source: Alexandria
Functional: SCAN
Structure: PBEsol geometry

a = 4.253 Å, b = 4.253 Å, c = 5.272 Å
α = 113.79°, β = 113.79°, γ = 90.00°
Positions (direct):
Zn (0.000, 0.000, 0.000)
Hg (0.500, 0.500, 0.000)
Cd (0.750, 0.250, 0.500)
Cd (0.250, 0.750, 0.500)

- polymorph energy (0 for the lowest one) (meV/atom) = 37
- symmetry = I4/mmm, No. 139



Compound: ZnCd2Hg
Source: Alexandria
Functional: SCAN
Structure: PBEsol geometry

a = 2.877 Å, b = 4.905 Å, c = 6.392 Å
α = 112.56°, β = 103.01°, γ = 90.00°
Positions (direct):
Zn (0.000, 0.500, 0.000)
Hg (0.500, 0.000, 0.000)
Cd (0.715, 0.715, 0.430)
Cd (0.285, 0.285, 0.570)

- polymorph energy (0 for the lowest one) (meV/atom) = 2
- symmetry = Immm, No. 71



Compound: Zn2CdHg
Source: Alexandria
Functional: SCAN
Structure: PBEsol geometry

a = 3.639 Å, b = 3.615 Å, c = 5.541 Å
α = 90.00°, β = 90.00°, γ = 90.00°
Positions (direct):
Cd (0.500, 0.500, 0.000)
Hg (0.500, 0.500, 0.500)
Zn (0.000, 0.000, 0.749)
Zn (0.000, 0.000, 0.251)

- polymorph energy (0 for the lowest one) (meV/atom) = 28
- symmetry = Pmmm, No. 47



Compound: Zn2Cd2Hg
Source: Alexandria
Functional: SCAN
Structure: PBEsol geometry

a = 2.829 Å, b = 8.297 Å, c = 8.297 Å
α = 90.00°, β = 90.00°, γ = 90.00°
Positions (direct):
Zn (0.500, 0.114, 0.614)
Zn (0.500, 0.614, 0.886)
Zn (0.500, 0.886, 0.386)
Zn (0.500, 0.386, 0.114)
Hg (0.000, 0.000, 0.000)
Hg (0.000, 0.500, 0.500)
Cd (0.000, 0.317, 0.817)
Cd (0.000, 0.817, 0.683)
Cd (0.000, 0.683, 0.183)
Cd (0.000, 0.183, 0.317)

- polymorph energy (0 for the lowest one) (meV/atom) = 0
- symmetry = P4/mbm, No. 127



Compound: Zn2Cd2Hg
Source: Alexandria
Functional: SCAN
Structure: PBEsol geometry

a = 3.676 Å, b = 3.676 Å, c = 7.747 Å
α = 103.72°, β = 103.72°, γ = 90.00°
Positions (direct):
Zn (0.250, 0.750, 0.500)
Zn (0.750, 0.250, 0.500)
Hg (0.000, 0.000, 0.000)
Cd (0.396, 0.396, 0.792)
Cd (0.604, 0.604, 0.208)

- polymorph energy (0 for the lowest one) (meV/atom) = 22
- symmetry = I4/mmm, No. 139



Compound: ZnCd2Hg
Source: Alexandria
Functional: SCAN
Structure: PBEsol geometry

a = 4.199 Å, b = 4.199 Å, c = 10.106 Å
α = 101.99°, β = 101.99°, γ = 90.00°
Positions (direct):
Zn (0.750, 0.250, 0.500)
Zn (0.500, 0.500, 0.000)
Hg (0.250, 0.750, 0.500)
Hg (0.000, 0.000, 0.000)
Cd (0.388, 0.875, 0.250)
Cd (0.862, 0.375, 0.250)
Cd (0.125, 0.138, 0.750)
Cd (0.625, 0.612, 0.750)

- polymorph energy (0 for the lowest one) (meV/atom) = 44
- symmetry = I-42d, No. 122



Compound: ZnCd2Hg
Source: Alexandria
Functional: SCAN
Structure: PBEsol geometry

a = 3.768 Å, b = 4.946 Å, c = 4.759 Å
α = 101.18°, β = 90.00°, γ = 112.39°
Positions (direct):
Zn (0.749, 0.499, 0.248)
Hg (0.500, 0.999, 0.489)
Cd (0.000, 0.001, 0.009)
Cd (0.251, 0.501, 0.755)

- polymorph energy (0 for the lowest one) (meV/atom) = 0
- symmetry = Cm, No. 8



| no. | formation energy (eV/atom) |
| --- | --- |
| 1 | 0.068 |
| 2 | 0.139 |
| 3 | 0.073 |
| 4 | 0.116 |
| 5 | 0.063 |
| 6 | 0.073 |
| 7 | 0.054 |
| 8 | 0.079 |
| 9 | 0.087 |
| 10 | 0.072 |
| 11 | 0.159 |
| 12 | 0.103 |
| 13 | 0.060 |
| 14 | 0.091 |
| 15 | 0.056 |
| 16 | 0.111 |
| 17 | 0.087 |
| 18 | 0.109 |
| 19 | 0.098 |
| 20 | 0.055 |